Pm8Si3HSe4: relaxed, PBE-GGA.

E_tot = -91.520 eV per cell

Unit cell a=8.4080 b=8.4080 c=8.4080 alpha=59.54 beta=59.54 gamma=59.54
Last column: nearest neighbours and their distance in Å.
Fractional positions:
Pm 0.2408 0.7498 0.7498  2 Si 2.91, 1 H 2.96, 3 Se 2.97-3.02
Pm 0.2467 0.2467 0.2467  3 Si 2.92, 3 Se 3.00
Pm 0.2502 0.2502 0.7592  2 Si 2.91, 1 H 2.96, 3 Se 2.97-3.02
Pm 0.2502 0.7592 0.2502  2 Si 2.91, 1 H 2.96, 3 Se 2.97-3.02
Pm 0.7498 0.2408 0.7498  2 Si 2.91, 1 H 2.96, 3 Se 2.97-3.02
Pm 0.7498 0.7498 0.2408  2 Si 2.91, 1 H 2.96, 3 Se 2.97-3.02
Pm 0.7533 0.7533 0.7533  3 Si 2.92, 3 Se 3.00
Pm 0.7592 0.2502 0.2502  2 Si 2.91, 1 H 2.96, 3 Se 2.97-3.02
Si 0.0000 0.0000 0.5000  6 Pm 2.91-2.92
Si 0.0000 0.5000 0.0000  6 Pm 2.91-2.92
Si 0.5000 0.0000 0.0000  6 Pm 2.91-2.92
H 0.5000 0.5000 0.5000  6 Pm 2.96
Se 0.0000 0.0000 0.0000  6 Pm 2.97
Se 0.0000 0.5000 0.5000  6 Pm 3.00-3.02
Se 0.5000 0.0000 0.5000  6 Pm 3.00-3.02
Se 0.5000 0.5000 0.0000  6 Pm 3.00-3.02

---

Pm4SiHSe2: relaxed, PBE-GGA.

E_tot = -44.067 eV per cell

Unit cell a=7.0217 b=4.1515 c=7.2149 alpha=90.00 beta=108.87 gamma=90.00
Last column: nearest neighbours and their distance in Å.
Fractional positions:
Pm 0.2474 0.0000 0.2548  1 Si 2.85, 2 H 2.92, 3 Se 2.94
Pm 0.2485 0.5000 0.7354  1 H 2.82, 2 Si 2.88, 3 Se 2.97-2.98
Pm 0.7515 0.5000 0.2646  1 H 2.82, 2 Si 2.88, 3 Se 2.97-2.98
Pm 0.7526 0.0000 0.7452  1 Si 2.85, 2 H 2.92, 3 Se 2.94
Si 0.0000 0.0000 0.5000  6 Pm 2.85-2.88
H 0.5000 0.5000 0.5000  6 Pm 2.82-2.92
Se 0.0000 0.5000 0.0000  6 Pm 2.94-2.97
Se 0.5000 0.0000 0.0000  6 Pm 2.94-2.98

---

PmSmHSe: relaxed, PBE-GGA.

E_tot = -41.703 eV per cell

Unit cell a=13.4906 b=13.4906 c=13.4906 alpha=16.95 beta=16.95 gamma=16.95
Last column: nearest neighbours and their distance in Å.
Fractional positions:
Pm 0.1190 0.1190 0.1190  3 H 2.38
Pm 0.8810 0.8810 0.8810  3 H 2.38
Sm 0.2880 0.2880 0.2880  1 H 2.32
Sm 0.7120 0.7120 0.7120  1 H 2.32
H 0.2297 0.2297 0.2297  1 Sm 2.32, 3 Pm 2.38
H 0.7703 0.7703 0.7703  1 Sm 2.32, 3 Pm 2.38
Se 0.0000 0.0000 0.0000  6 Sm 2.92
Se 0.5000 0.5000 0.5000  6 Pm 2.98

---

SrPmHSe2: relaxed, PBE-GGA.

E_tot = -48.342 eV per cell

Unit cell a=4.1872 b=4.1872 c=14.4052 alpha=90.00 beta=90.00 gamma=90.00
Last column: nearest neighbours and their distance in Å.
Fractional positions:
Sr 0.2500 0.2500 0.0942  4 H 2.50
Sr 0.7500 0.7500 0.9058  4 H 2.50
Pm 0.2500 0.2500 0.6279  5 Se 2.69-3.00
Pm 0.7500 0.7500 0.3721  5 Se 2.69-3.00
H 0.2500 0.7500 0.0000  4 Sr 2.50
H 0.7500 0.2500 0.0000  4 Sr 2.50
Se 0.2500 0.2500 0.4054  5 Pm 3.00-3.20
Se 0.2500 0.2500 0.8145  1 Pm 2.69
Se 0.7500 0.7500 0.1855  1 Pm 2.69
Se 0.7500 0.7500 0.5946  5 Pm 3.00-3.20

---

Pm2TeH2Se: relaxed, PBE-GGA.

E_tot = -30.655 eV per cell

Unit cell a=4.0353 b=4.0353 c=8.3252 alpha=90.00 beta=90.00 gamma=120.00
Last column: nearest neighbours and their distance in Å.
Fractional positions:
Pm 0.3333 0.6667 0.2355  3 H 2.33
Pm 0.6667 0.3333 0.7645  3 H 2.33
Te 0.0000 0.0000 0.5000  6 H 3.17, 6 Pm 3.21
H 0.3333 0.6667 0.7576  3 Pm 2.33
H 0.6667 0.3333 0.2424  3 Pm 2.33
Se 0.0000 0.0000 0.0000  6 Pm 3.04, 6 H 3.08

---

Pm8Te4HSe3: relaxed, PBE-GGA.

E_tot = -86.713 eV per cell

Unit cell a=8.6673 b=8.6673 c=8.6673 alpha=58.79 beta=58.79 gamma=58.79
Last column: nearest neighbours and their distance in Å.
Fractional positions:
Pm 0.2397 0.2397 0.2397  3 Se 2.91, 3 Te 3.17
Pm 0.2494 0.7340 0.7340  1 H 2.84, 2 Se 2.94, 2 Te 3.15
Pm 0.2660 0.2660 0.7506  1 H 2.84, 2 Se 2.94, 2 Te 3.15
Pm 0.2660 0.7506 0.2660  1 H 2.84, 2 Se 2.94, 2 Te 3.15
Pm 0.7340 0.2494 0.7340  1 H 2.84, 2 Se 2.94, 2 Te 3.15
Pm 0.7340 0.7340 0.2494  1 H 2.84, 2 Se 2.94, 2 Te 3.15
Pm 0.7506 0.2660 0.2660  1 H 2.84, 2 Se 2.94, 2 Te 3.15
Pm 0.7603 0.7603 0.7603  3 Se 2.91, 3 Te 3.17
Te 0.0000 0.0000 0.0000  6 Pm 3.24
Te 0.0000 0.5000 0.5000  6 Pm 3.15-3.17
Te 0.5000 0.0000 0.5000  6 Pm 3.15-3.17
Te 0.5000 0.5000 0.0000  6 Pm 3.15-3.17
H 0.5000 0.5000 0.5000  6 Pm 2.84
Se 0.0000 0.0000 0.5000  6 Pm 2.91-2.94
Se 0.0000 0.5000 0.0000  6 Pm 2.91-2.94
Se 0.5000 0.0000 0.0000  6 Pm 2.91-2.94

---

Pm3SiH: relaxed, PBE-GGA.

E_tot = -99.346 eV per cell

Unit cell a=6.7053 b=6.3334 c=10.9104 alpha=90.00 beta=97.11 gamma=90.00
Last column: nearest neighbours and their distance in Å.
Fractional positions:
Pm 0.0653 0.0689 0.1598  2 H 2.36-2.51
Pm 0.0653 0.4311 0.6598  2 H 2.36-2.51
Pm 0.2168 0.5491 0.0839  2 H 2.45-2.47
Pm 0.2168 0.9509 0.5839  2 H 2.45-2.47
Pm 0.4003 0.1631 0.8777  1 H 2.48
Pm 0.4003 0.3369 0.3777  1 H 2.48
Pm 0.5997 0.6631 0.6223  1 H 2.48
Pm 0.5997 0.8369 0.1223  1 H 2.48
Pm 0.7832 0.0491 0.4161  2 H 2.45-2.47
Pm 0.7832 0.4509 0.9161  2 H 2.45-2.47
Pm 0.9347 0.5689 0.3402  2 H 2.36-2.51
Pm 0.9347 0.9311 0.8402  2 H 2.36-2.51
Si 0.3579 0.6814 0.8438  8 Pm 3.01-3.34
Si 0.3579 0.8186 0.3438  8 Pm 3.01-3.34
Si 0.6421 0.1814 0.6562  8 Pm 3.01-3.34
Si 0.6421 0.3186 0.1562  8 Pm 3.01-3.34
H 0.0854 0.2346 0.9677  5 Pm 2.36-2.51
H 0.0854 0.2654 0.4677  5 Pm 2.36-2.51
H 0.9146 0.7346 0.5323  5 Pm 2.36-2.51
H 0.9146 0.7654 0.0323  5 Pm 2.36-2.51

---

PmSiH: relaxed, PBE-GGA.

E_tot = -30.729 eV per cell

Unit cell a=7.6674 b=7.6674 c=7.6674 alpha=30.31 beta=30.31 gamma=30.31
Last column: nearest neighbours and their distance in Å.
Fractional positions:
Pm 0.0947 0.0947 0.0947  4 H 2.33-2.46
Pm 0.9053 0.9053 0.9053  4 H 2.33-2.46
Si 0.3399 0.3399 0.3399  3 Si 2.33
Si 0.6601 0.6601 0.6601  3 Si 2.33
H 0.2009 0.2009 0.2009  4 Pm 2.33-2.46
H 0.7991 0.7991 0.7991  4 Pm 2.33-2.46